Compound: Sc2AgAu
Source: Alexandria via LeMat-Bulk
Functional: PBE
Structure: relaxed

Values from the calculation:
The value obtained for the uncorrected energy is -56.266 eV per cell. The value obtained for the calculated density is 7.4 g/cm3. The calculated volume is 22.03 Å³/atom. The calculation puts the energy above the most stable polymorph in this dataset at 0.560 eV/atom.

a b c (Å): 3.168 3.168 30.424
angles (deg): 90.00 90.00 120.00
Fractional coordinates of all 12 atoms:
Sc 0.000 0.000 0.093
Sc 0.000 0.000 0.907
Sc 0.333 0.667 0.574
Sc 0.333 0.667 0.760
Sc 0.667 0.333 0.240
Sc 0.667 0.333 0.426
Ag 0.000 0.000 0.000
Ag 0.333 0.667 0.667
Ag 0.667 0.333 0.333
Au 0.000 0.000 0.500
Au 0.333 0.667 0.167
Au 0.667 0.333 0.833

---

Compound: ZnSbPCl2
Source: Alexandria via LeMat-Bulk
Functional: PBE
Structure: relaxed

Values from the calculation:
The value obtained for the uncorrected energy is -13.406 eV per cell. The value obtained for the calculated density is 3.3 g/cm3. The calculated volume is 29.09 Å³/atom. The calculation puts the energy above the most stable polymorph in this dataset at 0.136 eV/atom. The uncorrected formation energy comes out at 1.09 eV/f.u.

a b c (Å): 5.192 5.192 5.395
angles (deg): 90.00 90.00 90.00
Fractional coordinates of all 5 atoms:
Zn 0.000 0.000 0.000
Sb 0.500 0.500 0.500
P 0.500 0.500 0.000
Cl 0.000 0.500 0.500
Cl 0.500 0.000 0.500

---

Compound: MnAl2Mo
Source: Alexandria via LeMat-Bulk
Functional: PBE
Structure: relaxed

Values from the calculation:
The value obtained for the uncorrected energy is -28.181 eV per cell. The value obtained for the calculated density is 5.8 g/cm3. The calculated volume is 14.56 Å³/atom.

a b c (Å): 3.967 3.967 3.703
angles (deg): 90.00 90.00 90.00
Fractional coordinates of all 4 atoms:
Mn 0.000 0.000 0.000
Al 0.000 0.500 0.500
Al 0.500 0.000 0.500
Mo 0.500 0.500 0.000

---

Compound: ScAl2Cl
Source: Alexandria via LeMat-Bulk
Functional: PBE
Structure: relaxed

Values from the calculation:
The value obtained for the uncorrected energy is -17.211 eV per cell. The value obtained for the calculated density is 2.8 g/cm3. The calculated volume is 19.58 Å³/atom. The calculation puts the energy above the most stable polymorph in this dataset at 0.142 eV/atom. The uncorrected formation energy comes out at -1.55 eV/f.u.

a b c (Å): 3.057 4.494 5.702
angles (deg): 90.00 90.00 90.00
Fractional coordinates of all 4 atoms:
Sc 0.000 0.000 0.000
Al 0.000 0.500 0.500
Al 0.500 0.000 0.500
Cl 0.500 0.500 0.000

---

Compound: AlIn3Ni
Source: Alexandria via LeMat-Bulk
Functional: PBE
Structure: relaxed

Values from the calculation:
The value obtained for the uncorrected energy is -16.909 eV per cell. The value obtained for the calculated density is 5.8 g/cm3. The calculated volume is 24.43 Å³/atom. The calculation puts the energy above the most stable polymorph in this dataset at 0.000 eV/atom.

a b c (Å): 4.962 4.962 4.962
angles (deg): 90.00 90.00 90.00
Fractional coordinates of all 5 atoms:
Al 0.000 0.000 0.000
In 0.000 0.500 0.500
In 0.500 0.000 0.500
In 0.500 0.500 0.000
Ni 0.500 0.500 0.500

---

Compound: Mg5Tl5Pb2
Source: Alexandria via LeMat-Bulk
Functional: PBE
Structure: relaxed

Values from the calculation:
The value obtained for the uncorrected energy is -27.140 eV per cell. The value obtained for the calculated density is 7.7 g/cm3. The calculated volume is 27.92 Å³/atom. The calculation puts the energy above the most stable polymorph in this dataset at 0.006 eV/atom.

a b c (Å): 5.175 5.175 14.688
angles (deg): 101.19 101.19 60.93
Fractional coordinates of all 12 atoms:
Mg 0.000 0.000 0.000
Mg 0.143 0.143 0.440
Mg 0.385 0.385 0.156
Mg 0.615 0.615 0.844
Mg 0.857 0.857 0.560
Tl 0.226 0.226 0.663
Tl 0.306 0.306 0.922
Tl 0.500 0.500 0.500
Tl 0.694 0.694 0.078
Tl 0.774 0.774 0.337
Pb 0.070 0.070 0.217
Pb 0.930 0.930 0.783

---

Compound: BeSiCl2
Source: Alexandria via LeMat-Bulk
Functional: PBE
Structure: relaxed

Values from the calculation:
The value obtained for the uncorrected energy is -50.609 eV per cell. The value obtained for the calculated density is 2.0 g/cm3. The calculated volume is 22.52 Å³/atom. The calculation puts the energy above the most stable polymorph in this dataset at 0.416 eV/atom. The uncorrected formation energy comes out at 0.19 eV/f.u.

a b c (Å): 6.302 6.302 9.074
angles (deg): 90.00 90.00 90.00
Fractional coordinates of all 16 atoms:
Be 0.000 0.000 0.000
Be 0.000 0.500 0.250
Be 0.500 0.000 0.750
Be 0.500 0.500 0.500
Si 0.000 0.000 0.500
Si 0.000 0.500 0.750
Si 0.500 0.000 0.250
Si 0.500 0.500 0.000
Cl 0.089 0.250 0.125
Cl 0.250 0.589 0.375
Cl 0.250 0.911 0.875
Cl 0.411 0.250 0.625
Cl 0.589 0.750 0.625
Cl 0.750 0.089 0.875
Cl 0.750 0.411 0.375
Cl 0.911 0.750 0.125

---

Compound: BaAg2Te
Source: Alexandria via LeMat-Bulk
Functional: PBE
Structure: relaxed

Values from the calculation:
The value obtained for the uncorrected energy is -12.120 eV per cell. The value obtained for the calculated density is 6.3 g/cm3. The calculated volume is 31.88 Å³/atom. The uncorrected formation energy comes out at -1.35 eV/f.u.

a b c (Å): 4.166 4.166 7.347
angles (deg): 90.00 90.00 90.00
Fractional coordinates of all 4 atoms:
Ba 0.000 0.000 0.000
Ag 0.000 0.000 0.541
Ag 0.500 0.500 0.608
Te 0.500 0.500 0.224